ErInAu6 | PBE-GGA | optimized geometry

Raw total energy, eV per atom: -3.784
Calculated formation energy, kJ per mole of atoms: -39.9
Magnetization, Bohr magnetons per cell: 0.000

Cell: 4.3560 5.2094 7.9107 Å, 76.47 74.02 65.29°
Last column: nearest neighbours and their distance in Å.
Sites, in units of the cell vectors:
1 Er 0.0000 0.5000 0.5000  12 Au 2.98-3.05
2 Au 0.2434 0.3892 0.1239  3 In 2.92-3.08, 8 Au 2.98-3.05, 1 Er 2.98
3 Au 0.4919 0.7646 0.2515  8 Au 2.95-3.05, 2 In 3.01, 2 Er 3.04
4 Au 0.2560 0.8612 0.6269  8 Au 2.95-3.08, 1 In 3.00, 3 Er 3.01-3.05
5 Au 0.5081 0.2354 0.7485  8 Au 2.95-3.05, 2 In 3.01, 2 Er 3.04
6 Au 0.7566 0.6108 0.8761  3 In 2.92-3.08, 8 Au 2.98-3.05, 1 Er 2.98
7 Au 0.7440 0.1388 0.3731  8 Au 2.95-3.08, 1 In 3.00, 3 Er 3.01-3.05
8 In 0.0000 0.0000 0.0000  12 Au 2.92-3.08



Er4InAu7 | PBE-GGA | optimized geometry

Raw total energy, eV per atom: -4.317
Calculated formation energy, kJ per mole of atoms: -63.3
Magnetization, Bohr magnetons per cell: 0.000

Cell: 5.2029 8.1271 7.6029 Å, 67.47 69.99 71.33°
Last column: nearest neighbours and their distance in Å.
Sites, in units of the cell vectors:
1 Au 0.3124 0.5515 0.8237  5 Er 2.96-3.06, 3 Au 3.09-3.26
2 Au 0.5000 0.0000 0.0000  2 In 2.60, 4 Er 2.87-2.90
3 Au 0.1980 0.9917 0.6122  1 In 2.79, 2 Er 2.89, 2 Au 3.04
4 Au 0.8020 0.0083 0.3878  1 In 2.79, 2 Er 2.89, 2 Au 3.04
5 Au 0.9462 0.3812 0.7264  3 Er 2.92-2.95, 1 In 2.98, 3 Au 3.09-3.19
6 Au 0.6876 0.4485 0.1763  5 Er 2.96-3.06, 3 Au 3.09-3.26
7 Au 0.0538 0.6188 0.2736  3 Er 2.92-2.95, 1 In 2.98, 3 Au 3.09-3.19
8 Er 0.7404 0.7442 0.7750  8 Au 2.89-3.22
9 Er 0.5626 0.2611 0.6137  6 Au 2.87-3.05
10 Er 0.2596 0.2558 0.2250  8 Au 2.89-3.22
11 Er 0.4374 0.7389 0.3863  6 Au 2.87-3.05
12 In 0.0000 0.0000 0.0000  4 Au 2.60-2.79



Er4InAu3 | PBE-GGA | optimized geometry

Raw total energy, eV per atom: -4.614
Calculated formation energy, kJ per mole of atoms: -73.5
Magnetization, Bohr magnetons per cell: 0.000

Cell: 3.5925 5.1218 10.2406 Å, 90.00 90.00 90.00°
Last column: nearest neighbours and their distance in Å.
Sites, in units of the cell vectors:
1 Au 0.5000 0.5000 0.5000  8 Er 3.03-3.13
2 Au 0.5000 0.0000 0.7570  8 Er 3.07-3.19
3 Au 0.5000 0.0000 0.2430  8 Er 3.07-3.19
4 Er 0.0000 0.0000 0.5000  8 Au 3.13-3.19
5 Er 0.0000 0.0000 0.0000  4 Au 3.07, 4 In 3.13
6 Er 0.0000 0.5000 0.2620  6 Au 3.03-3.13, 2 In 3.23
7 Er 0.0000 0.5000 0.7380  6 Au 3.03-3.13, 2 In 3.23
8 In 0.5000 0.5000 0.0000  8 Er 3.13-3.23



Er5InAu2 | PBE-GGA | optimized geometry

Raw total energy, eV per atom: -4.593
Calculated formation energy, kJ per mole of atoms: -55.9
Magnetization, Bohr magnetons per cell: 0.000

Cell: 8.0011 8.0011 8.6491 Å, 117.55 117.55 90.00°
Last column: nearest neighbours and their distance in Å.
Sites, in units of the cell vectors:
1 Au 0.1364 0.3636 0.0000  8 Er 3.00-3.11, 1 Au 3.09
2 Au 0.8636 0.6364 0.0000  8 Er 3.00-3.11, 1 Au 3.09
3 Au 0.3636 0.8636 0.0000  8 Er 3.00-3.11, 1 Au 3.09
4 Au 0.6364 0.1364 0.0000  8 Er 3.00-3.11, 1 Au 3.09
5 Er 0.5000 0.5000 0.0000  4 Au 3.11, 2 In 3.27
6 Er 0.4866 0.3003 0.2870  3 Au 3.00-3.01, 2 In 3.32-3.33
7 Er 0.8003 0.9866 0.2870  3 Au 3.00-3.01, 2 In 3.32-3.33
8 Er 0.3003 0.8003 0.2870  3 Au 3.00-3.01, 2 In 3.33
9 Er 0.0134 0.5134 0.7130  3 Au 3.00-3.01, 2 In 3.33
10 Er 0.1997 0.0134 0.7130  3 Au 3.00-3.01, 2 In 3.32-3.33
11 Er 0.0000 0.0000 0.0000  4 Au 3.11, 2 In 3.27
12 Er 0.9866 0.4866 0.2870  3 Au 3.00-3.01, 2 In 3.33
13 Er 0.5134 0.6997 0.7130  3 Au 3.00-3.01, 2 In 3.32-3.33
14 Er 0.6997 0.1997 0.7130  3 Au 3.00-3.01, 2 In 3.33
15 In 0.2500 0.2500 0.5000  10 Er 3.27-3.33
16 In 0.7500 0.7500 0.5000  10 Er 3.27-3.33



Er6In2Au | PBE-GGA | optimized geometry

Raw total energy, eV per atom: -4.224
Calculated formation energy, kJ per mole of atoms: -20.2
Magnetization, Bohr magnetons per cell: 0.015

Cell: 5.0515 7.2121 8.7547 Å, 114.32 106.82 90.00°
Last column: nearest neighbours and their distance in Å.
Sites, in units of the cell vectors:
1 Au 0.0000 0.0000 0.0000  8 Er 2.99-3.04
2 In 0.6669 0.6669 0.3337  8 Er 3.14-3.16
3 In 0.3331 0.3331 0.6663  8 Er 3.14-3.16
4 Er 0.8395 0.5975 0.6790  1 Au 2.99, 3 In 3.14
5 Er 0.1605 0.9185 0.3210  1 Au 2.99, 3 In 3.14
6 Er 0.8395 0.0815 0.6790  1 Au 2.99, 3 In 3.14
7 Er 0.5000 0.2355 0.0000  2 Au 3.04, 2 In 3.16, 1 Er 3.40
8 Er 0.5000 0.7645 0.0000  2 Au 3.04, 2 In 3.16, 1 Er 3.40
9 Er 0.1605 0.4025 0.3210  1 Au 2.99, 3 In 3.14



Er2InAu3 | PBE-GGA | optimized geometry

Raw total energy, eV per atom: -4.386
Calculated formation energy, kJ per mole of atoms: -74.3
Magnetization, Bohr magnetons per cell: 0.000

Cell: 4.9668 4.9668 12.2766 Å, 90.00 90.00 120.00°
Last column: nearest neighbours and their distance in Å.
Sites, in units of the cell vectors:
1 In 0.6667 0.3333 0.3328  8 Au 2.96-3.31
2 In 0.3333 0.6667 0.6672  8 Au 2.96-3.31
3 Er 0.0000 0.0000 0.5000  8 Au 3.01-3.16
4 Er 0.0000 0.0000 0.0000  8 Au 2.97-2.98
5 Er 0.6667 0.3333 0.8172  8 Au 2.96-3.22
6 Er 0.3333 0.6667 0.1828  8 Au 2.96-3.22
7 Au 0.3333 0.6667 0.9371  7 Er 2.97-3.22, 3 Au 3.26, 1 In 3.31
8 Au 0.6667 0.3333 0.5742  4 In 2.96-3.09, 4 Er 2.98-3.01
9 Au 0.6667 0.3333 0.0629  7 Er 2.97-3.22, 3 Au 3.26, 1 In 3.31
10 Au 0.0000 0.0000 0.2429  5 Er 2.96-3.16, 3 In 3.07
11 Au 0.0000 0.0000 0.7571  5 Er 2.96-3.16, 3 In 3.07
12 Au 0.3333 0.6667 0.4258  4 In 2.96-3.09, 4 Er 2.98-3.01



ErIn2Au | PBE-GGA | optimized geometry

Raw total energy, eV per atom: -3.281
Calculated formation energy, kJ per mole of atoms: 4.7
Magnetization, Bohr magnetons per cell: 0.000

Cell: 3.4476 3.4476 10.7273 Å, 80.75 80.75 60.00°
Last column: nearest neighbours and their distance in Å.
Sites, in units of the cell vectors:
1 In 0.0995 0.0995 0.7016  3 Au 2.91, 1 Er 3.15
2 In 0.9005 0.9005 0.2984  3 Au 2.91, 1 Er 3.15
3 Er 0.0000 0.0000 0.0000  2 In 3.15, 6 Er 3.45
4 Au 0.5000 0.5000 0.5000  6 In 2.91



Er5InAu4 | PBE-GGA | optimized geometry

Raw total energy, eV per atom: -4.663
Calculated formation energy, kJ per mole of atoms: -76.8
Magnetization, Bohr magnetons per cell: 0.000

Cell: 3.5567 3.5567 18.5045 Å, 90.00 90.00 90.00°
Last column: nearest neighbours and their distance in Å.
Sites, in units of the cell vectors:
1 Au 0.0000 0.0000 0.7933  8 Er 3.05-3.11
2 Au 0.0000 0.0000 0.4031  8 Er 3.09
3 Au 0.0000 0.0000 0.5969  8 Er 3.09
4 Au 0.0000 0.0000 0.2067  8 Er 3.05-3.11
5 Er 0.5000 0.5000 0.8869  4 Au 3.05, 4 In 3.27
6 Er 0.5000 0.5000 0.5000  8 Au 3.09
7 Er 0.5000 0.5000 0.6942  8 Au 3.09-3.11
8 Er 0.5000 0.5000 0.1131  4 Au 3.05, 4 In 3.27
9 Er 0.5000 0.5000 0.3058  8 Au 3.09-3.11
10 In 0.0000 0.0000 0.0000  8 Er 3.27, 4 In 3.56



Question: The highest calculated formation energy belongs to which entry?
Answer: ErIn2Au



Question: Which value of raw total energy does entry 3 give?
Answer: -4.614 eV per atom



Question: Look up the raw total energy of the fifth one.
Answer: -4.224 eV per atom



Question: Which of these has the highest magnetization?
Answer: Er6In2Au